Version 1
A relaxed structure of Np3S5. Source: Alexandria via LeMat-Bulk, functional PBE.

## Properties
DOS at the Fermi energy ... 2.334 states/eV per atom
Space group ... P6_3/mcm, No. 193

a b c (Å): 6.2573 7.8059 7.8059
angles (deg): 120.00 90.00 90.00
Each line ends with the local moment (μB).
Fractional positions:
1 Np 0.2500 0.0000 0.3894  3.71
2 Np 0.2500 0.3894 0.0000  3.71
3 Np 0.2500 0.6106 0.6106  3.71
4 Np 0.7500 0.0000 0.6106  3.71
5 Np 0.7500 0.6106 0.0000  3.71
6 Np 0.7500 0.3894 0.3894  3.71
7 S 0.0000 0.6667 0.3333  -0.15
8 S 0.0000 0.3333 0.6667  -0.15
9 S 0.5000 0.3333 0.6667  -0.15
10 S 0.5000 0.6667 0.3333  -0.15
11 S 0.2500 0.0000 0.7462  -0.14
12 S 0.2500 0.7462 0.0000  -0.14
13 S 0.2500 0.2538 0.2538  -0.14
14 S 0.7500 0.0000 0.2538  -0.14
15 S 0.7500 0.2538 0.0000  -0.14
16 S 0.7500 0.7462 0.7462  -0.14

---

Version 2
A relaxed structure of Np3S5. Source: Alexandria via LeMat-Bulk, functional PBE.

## Properties
DOS at the Fermi energy ... 2.325 states/eV per atom
Space group ... C2/m, No. 12

a b c (Å): 6.4365 7.3940 7.9862
angles (deg): 84.27 66.24 75.65
Each line ends with the local moment (μB).
Fractional positions:
1 Np 0.6538 0.5004 0.1915  3.68
2 Np 0.7443 0.0004 0.0107  3.67
3 Np 0.0687 0.2048 0.5000  3.75
4 Np 0.9304 0.7961 0.5000  3.75
5 Np 0.2550 0.0004 0.9893  3.67
6 Np 0.3452 0.5004 0.8085  3.68
7 S 0.1632 0.8780 0.7136  -0.13
8 S 0.9857 0.3001 0.8773  -0.13
9 S 0.2615 0.4843 0.5000  -0.14
10 S 0.3768 0.8780 0.2864  -0.13
11 S 0.6363 0.7007 0.8773  -0.13
12 S 0.3630 0.3001 0.1227  -0.13
13 S 0.6225 0.1229 0.7136  -0.13
14 S 0.7374 0.5166 0.5000  -0.14
15 S 0.0135 0.7007 0.1227  -0.13
16 S 0.8361 0.1229 0.2864  -0.13

---

Verdict on stability: version 1 comes out at the bottom.

---

Version 1
A relaxed structure of NpSbS3. Source: Alexandria via LeMat-Bulk, functional PBE.

## Properties
DOS at the Fermi energy ... 1.456 states/eV per atom
Space group ... C2/m, No. 12

a b c (Å): 4.2992 8.1265 7.8709
angles (deg): 84.79 105.85 90.00
Each line ends with the local moment (μB).
Fractional positions:
1 Np 0.8670 0.9266 0.7339  3.30
2 Np 0.1330 0.0734 0.2661  3.30
3 Sb 0.5886 0.5750 0.1772  -0.01
4 Sb 0.4114 0.4250 0.8228  -0.01
5 S 0.0366 0.7992 0.0733  -0.11
6 S 0.9634 0.2008 0.9267  -0.11
7 S 0.3136 0.0834 0.6272  -0.14
8 S 0.6864 0.9166 0.3728  -0.14
9 S 0.1546 0.3992 0.3091  -0.09
10 S 0.8454 0.6008 0.6909  -0.09

---

Version 2
A relaxed structure of NpSbS3. Source: Alexandria via LeMat-Bulk, functional PBE.

## Properties
DOS at the Fermi energy ... 1.879 states/eV per atom
Space group ... Pnma, No. 62

a b c (Å): 4.0573 10.2348 13.0627
angles (deg): 90.00 90.00 90.00
Each line ends with the local moment (μB).
Fractional positions:
1 Np 0.2500 0.8348 0.5338  3.76
2 Np 0.7500 0.6652 0.0338  3.76
3 Np 0.7500 0.1652 0.4662  3.76
4 Np 0.2500 0.3348 0.9662  3.76
5 Sb 0.7500 0.5520 0.6536  0.04
6 Sb 0.2500 0.9480 0.1536  0.04
7 Sb 0.2500 0.4480 0.3464  0.04
8 Sb 0.7500 0.0520 0.8464  0.04
9 S 0.2500 0.6879 0.7126  -0.02
10 S 0.7500 0.8121 0.2126  -0.02
11 S 0.7500 0.3121 0.2874  -0.02
12 S 0.2500 0.1879 0.7874  -0.02
13 S 0.7500 0.9784 0.6132  -0.10
14 S 0.2500 0.5216 0.1132  -0.10
15 S 0.2500 0.0216 0.3868  -0.10
16 S 0.7500 0.4784 0.8868  -0.10
17 S 0.7500 0.6595 0.4763  -0.04
18 S 0.2500 0.8405 0.9763  -0.04
19 S 0.2500 0.3405 0.5237  -0.04
20 S 0.7500 0.1595 0.0237  -0.04

---

Verdict on stability: version 1 comes out at the bottom.

---

Version 1
A relaxed structure of Np2SbS6. Source: Alexandria via LeMat-Bulk, functional PBE.

## Properties
DOS at the Fermi energy ... 2.269 states/eV per atom
Space group ... P4_2/mnm, No. 136

a b c (Å): 6.2193 6.2193 12.2162
angles (deg): 90.00 90.00 90.00
Each line ends with the local moment (μB).
Fractional positions:
1 Np 0.0000 0.0000 0.3328  2.97
2 Np 0.5000 0.5000 0.8328  2.97
3 Np 0.5000 0.5000 0.1672  2.97
4 Np 0.0000 0.0000 0.6672  2.97
5 Sb 0.0000 0.0000 0.0000  0.00
6 Sb 0.5000 0.5000 0.5000  0.00
7 S 0.3036 0.3036 0.3293  -0.13
8 S 0.6964 0.6964 0.3293  -0.13
9 S 0.1964 0.8036 0.8293  -0.13
10 S 0.8036 0.1964 0.8293  -0.13
11 S 0.1964 0.8036 0.1707  -0.13
12 S 0.8036 0.1964 0.1707  -0.13
13 S 0.3036 0.3036 0.6707  -0.13
14 S 0.6964 0.6964 0.6707  -0.13
15 S 0.3113 0.3113 0.0000  -0.14
16 S 0.6887 0.6887 0.0000  -0.14
17 S 0.1887 0.8113 0.5000  -0.14
18 S 0.8113 0.1887 0.5000  -0.14

---

Version 2
A relaxed structure of Np2SbS6. Source: Alexandria via LeMat-Bulk, functional PBE.

## Properties
DOS at the Fermi energy ... 1.990 states/eV per atom
Space group ... P-3, No. 147

a b c (Å): 4.1066 7.1932 7.1932
angles (deg): 120.00 90.00 90.00
Each line ends with the local moment (μB).
Fractional positions:
1 Np 0.2635 0.6667 0.3333  3.05
2 Np 0.7365 0.3333 0.6667  3.05
3 Sb 0.5000 0.0000 0.0000  0.00
4 S 0.2455 0.6169 0.6967  -0.16
5 S 0.2455 0.0798 0.3831  -0.16
6 S 0.2455 0.3033 0.9202  -0.16
7 S 0.7545 0.3831 0.3033  -0.16
8 S 0.7545 0.9202 0.6169  -0.16
9 S 0.7545 0.6967 0.0798  -0.16

---

Verdict on stability: version 1 comes out at the bottom.

---

Version 1
A relaxed structure of NpScS4. Source: Alexandria via LeMat-Bulk, functional PBE.

## Properties
DOS at the Fermi energy ... 1.494 states/eV per atom
Space group ... I4_1/amd, No. 141

a b c (Å): 7.3449 7.3449 7.3449
angles (deg): 69.07 71.25 108.75
Each line ends with the local moment (μB).
Fractional positions:
1 Np 0.5000 0.2500 0.2500  2.77
2 Np 0.0000 0.0000 0.0000  2.77
3 Sc 0.0000 0.5000 0.5000  -0.04
4 Sc 0.5000 0.7500 0.7500  -0.04
5 S 0.8063 0.2903 0.9034  -0.13
6 S 0.8063 0.5161 0.2903  -0.13
7 S 0.1937 0.9034 0.2903  -0.13
8 S 0.1937 0.2903 0.5161  -0.13
9 S 0.3063 0.9597 0.7339  -0.13
10 S 0.3063 0.3466 0.9597  -0.13
11 S 0.6937 0.7339 0.9597  -0.13
12 S 0.6937 0.9597 0.3466  -0.13

---

Version 2
A relaxed structure of NpScS4. Source: Alexandria via LeMat-Bulk, functional PBE.

## Properties
DOS at the Fermi energy ... 0.798 states/eV per atom
Space group ... P2/m, No. 10

a b c (Å): 3.8852 6.4238 6.5226
angles (deg): 90.41 90.00 90.00
Each line ends with the local moment (μB).
Fractional positions:
1 Np 0.0000 0.0000 0.0000  2.52
2 Sc 0.5000 0.0000 0.5000  0.00
3 S 0.0000 0.7875 0.6669  -0.10
4 S 0.5000 0.2171 0.8341  -0.11
5 S 0.5000 0.7829 0.1659  -0.11
6 S 0.0000 0.2125 0.3331  -0.10

---

Verdict on stability: version 1 comes out at the bottom.

---

Version 1
A relaxed structure of NpScS2. Source: Alexandria via LeMat-Bulk, functional PBE.

## Properties
DOS at the Fermi energy ... 2.238 states/eV per atom
Space group ... R-3m, No. 166

a b c (Å): 3.7934 3.7934 6.5973
angles (deg): 73.29 73.29 60.00
Each line ends with the local moment (μB).
Fractional positions:
1 Np 0.5000 0.5000 0.5000  3.94
2 Sc 0.0000 0.0000 0.0000  0.01
3 S 0.2555 0.2555 0.2334  -0.04
4 S 0.7445 0.7445 0.7666  -0.04

---

Version 2
A relaxed structure of NpScS2. Source: Alexandria via LeMat-Bulk, functional PBE.

## Properties
DOS at the Fermi energy ... 1.910 states/eV per atom
Space group ... P6_3/mmc, No. 194

a b c (Å): 3.7634 3.7634 12.7502
angles (deg): 90.00 90.00 120.00
Each line ends with the local moment (μB).
Fractional positions:
1 Np 0.0000 0.0000 0.5000  3.93
2 Np 0.0000 0.0000 0.0000  3.93
3 Sc 0.6667 0.3333 0.2500  -0.09
4 Sc 0.3333 0.6667 0.7500  -0.09
5 S 0.3333 0.6667 0.3709  -0.05
6 S 0.6667 0.3333 0.8709  -0.05
7 S 0.6667 0.3333 0.6291  -0.05
8 S 0.3333 0.6667 0.1291  -0.05

---

Verdict on stability: version 2 comes out at the bottom.

---

Version 1
A relaxed structure of NpSeS. Source: Alexandria via LeMat-Bulk, functional PBE.

## Properties
DOS at the Fermi energy ... 2.822 states/eV per atom
Space group ... P3m1, No. 156

a b c (Å): 6.5010 4.0844 4.0844
angles (deg): 120.00 90.00 90.00
Each line ends with the local moment (μB).
Fractional positions:
1 Np 0.3190 0.3333 0.6667  3.28
2 S 0.1236 0.0000 0.0000  -0.13
3 Se 0.5574 0.6667 0.3333  -0.16

---

Version 2
A relaxed structure of NpSeS. Source: Alexandria via LeMat-Bulk, functional PBE.

## Properties
DOS at the Fermi energy ... 2.128 states/eV per atom
Space group ... I4mm, No. 107

a b c (Å): 3.6298 3.6298 5.2720
angles (deg): 110.14 110.14 90.00
Each line ends with the local moment (μB).
Fractional positions:
1 Np 0.6734 0.6734 0.3467  3.37
2 S 0.3159 0.3159 0.6317  -0.14
3 Se 0.0108 0.0108 0.0216  -0.15

---

Version 3
A relaxed structure of NpSeS. Source: Alexandria via LeMat-Bulk, functional PBE.

## Properties
DOS at the Fermi energy ... 2.701 states/eV per atom
Space group ... Pnma, No. 62

a b c (Å): 3.7815 7.0041 10.3553
angles (deg): 90.00 90.00 90.00
Each line ends with the local moment (μB).
Fractional positions:
1 Np 0.7500 0.6653 0.3353  3.34
2 Np 0.7500 0.1653 0.1647  3.34
3 Np 0.2500 0.8347 0.8353  3.34
4 Np 0.2500 0.3347 0.6647  3.34
5 Se 0.2500 0.2105 0.9584  -0.20
6 Se 0.7500 0.2895 0.4584  -0.20
7 Se 0.7500 0.7895 0.0416  -0.20
8 Se 0.2500 0.7105 0.5416  -0.20
9 S 0.2500 0.4514 0.2202  -0.18
10 S 0.7500 0.5486 0.7798  -0.18
11 S 0.2500 0.9514 0.2798  -0.18
12 S 0.7500 0.0486 0.7202  -0.18

---

Version 4
A relaxed structure of NpSeS. Source: Alexandria via LeMat-Bulk, functional PBE.

## Properties
DOS at the Fermi energy ... 2.796 states/eV per atom
Space group ... I4/mmm, No. 139

a b c (Å): 3.9707 3.9707 8.5900
angles (deg): 103.36 103.36 90.00
Each line ends with the local moment (μB).
Fractional positions:
1 Np 0.3523 0.3523 0.7046  3.92
2 Np 0.6477 0.6477 0.2954  3.92
3 Se 0.0000 0.5000 0.0000  -0.04
4 Se 0.5000 0.0000 0.0000  -0.04
5 S 0.1820 0.1820 0.3640  -0.11
6 S 0.8180 0.8180 0.6360  -0.11

---

Verdict on stability: version 2 comes out at the bottom.

---

Version 1
A relaxed structure of NpSeS. Source: Alexandria via LeMat-Bulk, functional PBE.

## Properties
DOS at the Fermi energy ... 3.946 states/eV per atom
Space group ... F-43m, No. 216

a b c (Å): 4.6749 4.6749 4.6749
angles (deg): 60.00 60.00 60.00
Each line ends with the local moment (μB).
Fractional positions:
1 Np 0.2500 0.2500 0.2500  3.34
2 S 0.5000 0.5000 0.5000  -0.16
3 Se 0.0000 0.0000 0.0000  -0.16

---

Version 2
A relaxed structure of NpSeS. Source: Alexandria via LeMat-Bulk, functional PBE.

## Properties
DOS at the Fermi energy ... 3.613 states/eV per atom
Space group ... R-3m, No. 166

a b c (Å): 4.6079 4.6079 8.2635
angles (deg): 73.81 73.81 60.00
Each line ends with the local moment (μB).
Fractional positions:
1 S 0.3734 0.3734 0.8798  -0.15
2 S 0.6266 0.6266 0.1202  -0.15
3 Np 0.2568 0.2568 0.2295  3.34
4 Np 0.7432 0.7432 0.7705  3.34
5 Se 0.1259 0.1259 0.6224  -0.18
6 Se 0.8741 0.8741 0.3776  -0.18

---

Verdict on stability: version 1 comes out at the bottom.

---

Version 1
A relaxed structure of SmNpS3. Source: Alexandria via LeMat-Bulk, functional PBE.

## Properties
DOS at the Fermi energy ... 2.007 states/eV per atom
Space group ... Pnma, No. 62

a b c (Å): 3.9471 7.3575 15.3263
angles (deg): 90.00 90.00 90.00
Each line ends with the local moment (μB).
Fractional positions:
1 Sm 0.7500 0.8726 0.7935  0.05
2 Sm 0.2500 0.1274 0.2065  0.05
3 Sm 0.7500 0.3726 0.7065  0.05
4 Sm 0.2500 0.6274 0.2935  0.05
5 Np 0.2500 0.2619 0.9611  3.77
6 Np 0.2500 0.7619 0.5389  3.77
7 Np 0.7500 0.2381 0.4611  3.77
8 Np 0.7500 0.7381 0.0389  3.77
9 S 0.2500 0.3734 0.5680  -0.07
10 S 0.7500 0.8437 0.2173  -0.03
11 S 0.7500 0.4877 0.8968  -0.09
12 S 0.7500 0.9877 0.6032  -0.09
13 S 0.7500 0.6266 0.4320  -0.07
14 S 0.2500 0.0123 0.3968  -0.09
15 S 0.2500 0.8734 0.9320  -0.07
16 S 0.7500 0.3437 0.2827  -0.03
17 S 0.2500 0.6563 0.7173  -0.03
18 S 0.2500 0.1563 0.7827  -0.03
19 S 0.7500 0.1266 0.0680  -0.07
20 S 0.2500 0.5123 0.1032  -0.09

---

Version 2
A relaxed structure of SmNpS3. Source: Alexandria via LeMat-Bulk, functional PBE.

## Properties
DOS at the Fermi energy ... 1.414 states/eV per atom
Space group ... Imma, No. 74

a b c (Å): 5.4299 8.4363 7.1764
angles (deg): 126.00 112.23 90.00
Each line ends with the local moment (μB).
Fractional positions:
1 Sm 0.0000 0.5000 0.0000  0.08
2 Sm 0.5000 0.0000 0.0000  0.08
3 Np 0.2500 0.1957 0.5000  3.80
4 Np 0.7500 0.8043 0.5000  3.80
5 S 0.0531 0.2126 0.1063  -0.09
6 S 0.4469 0.6063 0.8937  -0.09
7 S 0.5531 0.3937 0.1063  -0.09
8 S 0.9469 0.7874 0.8937  -0.09
9 S 0.2500 0.8592 0.5000  -0.07
10 S 0.7500 0.1408 0.5000  -0.07

---

Verdict on stability: version 2 comes out at the bottom.

---

Version 1
A relaxed structure of NpSnS3. Source: Alexandria via LeMat-Bulk, functional PBE.

## Properties
DOS at the Fermi energy ... 1.637 states/eV per atom
Space group ... P2_13, No. 198

a b c (Å): 8.1508 8.1508 8.1508
angles (deg): 90.00 90.00 90.00
Each line ends with the local moment (μB).
Fractional positions:
1 Np 0.0935 0.9065 0.4065  3.33
2 Np 0.4065 0.0935 0.9065  3.33
3 Np 0.5935 0.5935 0.5935  3.33
4 Np 0.9065 0.4065 0.0935  3.33
5 Sn 0.8559 0.8559 0.8559  -0.02
6 Sn 0.6441 0.1441 0.3559  -0.02
7 Sn 0.3559 0.6441 0.1441  -0.02
8 Sn 0.1441 0.3559 0.6441  -0.02
9 S 0.9933 0.2162 0.3519  -0.10
10 S 0.1481 0.0067 0.7162  -0.10
11 S 0.2162 0.3519 0.9933  -0.10
12 S 0.2838 0.6481 0.4933  -0.10
13 S 0.3519 0.9933 0.2162  -0.10
14 S 0.5067 0.7838 0.8519  -0.10
15 S 0.4933 0.2838 0.6481  -0.10
16 S 0.6481 0.4933 0.2838  -0.10
17 S 0.7162 0.1481 0.0067  -0.10
18 S 0.7838 0.8519 0.5067  -0.10
19 S 0.8519 0.5067 0.7838  -0.10
20 S 0.0067 0.7162 0.1481  -0.10

---

Version 2
A relaxed structure of NpSnS3. Source: Alexandria via LeMat-Bulk, functional PBE.

## Properties
DOS at the Fermi energy ... 2.179 states/eV per atom
Space group ... C2/m, No. 12

a b c (Å): 5.3959 8.2361 7.1536
angles (deg): 81.41 112.16 90.00
Each line ends with the local moment (μB).
Fractional positions:
1 Np 0.8646 0.9177 0.7293  3.30
2 Np 0.1354 0.0823 0.2707  3.30
3 Sn 0.6317 0.6970 0.2634  -0.02
4 Sn 0.3683 0.3030 0.7366  -0.02
5 S 0.0651 0.7987 0.1302  -0.12
6 S 0.9349 0.2013 0.8698  -0.12
7 S 0.3422 0.9754 0.6843  -0.09
8 S 0.6578 0.0246 0.3157  -0.09
9 S 0.1746 0.3770 0.3491  -0.10
10 S 0.8254 0.6230 0.6509  -0.10

---

Verdict on stability: version 1 comes out at the bottom.